Entry 1:
Computed, not measured: a relaxed Dy2AuN crystal at the PBE level of DFT.

Lattice parameters (Å, degrees): 3.546 3.546 7.518 76.36 76.36 60.00
Fractional coordinates of all 4 atoms:
Au1 0.500 0.500 0.500
Dy1 0.271 0.271 0.188
Dy2 0.729 0.729 0.812
N1 0.000 0.000 0.000

- VASP energy (eV/atom) = -6.29
- symmetry = R-3m


Entry 2:
Computed, not measured: a relaxed MgVAgTe2 crystal at the PBE level of DFT.

Lattice parameters (Å, degrees): 5.131 5.177 5.131 90.00 90.00 90.00
Fractional coordinates of all 5 atoms:
Mg1 0.000 0.500 0.000
V1 0.000 0.000 0.000
Te1 0.500 0.000 0.000
Te2 0.000 0.000 0.500
Ag1 0.500 0.500 0.500

- VASP energy (eV/atom) = -3.59
- symmetry = P4/mmm